Record 1
CaMoN2F after structural relaxation. Source: the Alexandria database, functional PBE+U.

a = 4.540 Å, b = 4.540 Å, c = 4.108 Å
α = 90.00°, β = 90.00°, γ = 90.00°
Site moments in Bohr magnetons follow the coordinates.
Element x y z (fractional)
Mo 0.500 0.500 0.500  3.79
N 0.000 0.500 0.000  -1.11
N 0.500 0.000 0.000  -1.11
Ca 0.000 0.000 0.000  -0.07
F 0.000 0.000 0.500  -0.02

The density of states at the Fermi level is 0.455 states/eV/atom. The space group is P4/mmm, No. 123. For the electronic total energy, the calculation gives -24.97 eV for the cell shown.



Record 2
VGa2GeO after structural relaxation. Source: the Alexandria database, functional PBE+U.

a = 4.963 Å, b = 4.819 Å, c = 4.963 Å
α = 90.00°, β = 90.00°, γ = 90.00°
Site moments in Bohr magnetons follow the coordinates.
Element x y z (fractional)
Ge 0.000 0.500 0.000  0.05
O 0.500 0.500 0.500  0.99
Ga 0.000 0.000 0.500  0.13
Ga 0.500 0.000 0.000  0.15
V 0.000 0.000 0.000  2.75

The density of states at the Fermi level is 0.370 states/eV/atom. The space group is P4/mmm, No. 123. For the electronic total energy, the calculation gives -18.48 eV for the cell shown.